w:
Computed, not measured: an optimized crystal structure of Cu7Ag2 at the PBE level of DFT.

The structure belongs to space group C2/m (No. 12); the cell edges are 13.340, 2.738 and 7.482 Å and the angles 90.00°, 119.62° and 90.00°. The distinct sites, in fractional coordinates, are Cu at (0.000, 0.000, 0.000), Cu at (0.051, 0.500, 0.327), Cu at (0.099, 0.000, 0.651), Cu at (0.160, 0.500, 0.967) and Ag at (0.221, 0.000, 0.313).

The value obtained for the density is 9.24 g cm⁻³.

---

x:
Computed, not measured: an optimized crystal structure of Cu7Ag2 at the PBE level of DFT.

The structure belongs to space group C2/m (No. 12); the cell edges are 8.707, 2.694 and 10.961 Å and the angles 90.00°, 112.68° and 90.00°. The distinct sites, in fractional coordinates, are Cu at (0.000, 0.000, 0.000), Cu at (0.041, 0.500, 0.203), Cu at (0.187, 0.500, 0.691), Cu at (0.229, 0.000, 0.897) and Ag at (0.100, 0.000, 0.431).

The value obtained for the density is 9.25 g cm⁻³.

---

y:
Computed, not measured: an optimized crystal structure of Cu7Ag2 at the PBE level of DFT.

The structure belongs to space group P-3m1 (No. 164); the cell edges are 2.6798, 2.6798 and 19.1980 Å and the angles 90.00°, 90.00° and 120.00°. The distinct sites, in fractional coordinates, are Cu at (0.0000, 0.0000, 0.0000), Cu at (0.0000, 0.0000, 0.3149), Cu at (0.3333, 0.6667, 0.2106), Cu at (0.3333, 0.6667, 0.8947) and Ag at (0.3333, 0.6667, 0.5665).

The value obtained for the density is 9.19 g cm⁻³.

---

Short version: x, w, y, most stable first.